Material: Tl2GaCoRu
Method: DFT, GGA-PBE
State: relaxed

The value obtained for the total magnetic moment is 2.41 μB per formula unit. The formation energy from the elements is 860 meV/atom. Its volume is 109.3 Å³ per cell. The space group is No. 123.

a = 4.950 Å, b = 4.460 Å, c = 4.950 Å
α = 90.00°, β = 90.00°, γ = 90.00°
Atoms (fractional coordinates):
Ru 0.500 0.500 0.500
Tl 0.000 0.000 0.500
Tl 0.500 0.000 0.000
Co 0.000 0.000 0.000
Ga 0.000 0.500 0.000